Record 1
! Cs4Nd3HoTe8 PBE optimized geometry; values from VASP
&SYSTEM
  ibrav = 0, nat = 16, ntyp = 4
/
ATOMIC_SPECIES
Cs 132.91 Cs.upf
Te 127.60 Te.upf
Nd 144.24 Nd.upf
Ho 164.93 Ho.upf
CELL_PARAMETERS angstrom
9.289 0.000 0.000
0.000 10.401 0.780
-4.645 -4.645 6.569
ATOMIC_POSITIONS crystal
Cs 0.500 0.000 0.500
Cs 0.000 0.000 0.000
Cs 0.000 0.000 0.500
Cs 0.500 0.000 0.000
Te 0.732 0.696 0.464
Te 0.773 0.308 0.546
Te 0.261 0.308 0.034
Te 0.268 0.304 0.536
Te 0.227 0.692 0.966
Te 0.739 0.692 0.966
Te 0.227 0.692 0.454
Te 0.773 0.308 0.034
Nd 0.500 0.500 0.000
Nd 0.500 0.500 0.500
Nd 0.000 0.500 0.500
Ho 0.000 0.500 0.000
! Electronic total energy   -4.37 eV/atom
! Formation energy (no corrections)   -1.40 eV per atom
! SG   R-3m

Record 2
! Cs4HoNp3O12 PBE optimized geometry; values from VASP
&SYSTEM
  ibrav = 0, nat = 20, ntyp = 4
/
ATOMIC_SPECIES
O 16.00 O.upf
Cs 132.91 Cs.upf
Ho 164.93 Ho.upf
Np 237.00 Np.upf
CELL_PARAMETERS angstrom
-3.405 0.122 6.799
3.708 -6.584 -0.860
4.935 5.768 -0.468
ATOMIC_POSITIONS crystal
O 0.750 0.500 0.250
O 0.268 0.000 0.268
O 0.500 0.250 0.750
O 0.750 0.250 0.500
O 0.268 0.268 0.000
O 0.000 0.732 0.732
O 0.250 0.750 0.500
O 0.250 0.500 0.750
O 0.732 0.732 0.000
O 0.500 0.750 0.250
O 0.732 0.000 0.732
O 0.000 0.268 0.268
Cs 0.500 0.500 0.500
Cs 0.500 0.000 0.000
Cs 0.000 0.000 0.500
Cs 0.000 0.500 0.000
Ho 0.000 0.000 0.000
Np 0.000 0.500 0.500
Np 0.500 0.500 0.000
Np 0.500 0.000 0.500
! Electronic total energy   -7.94 eV/atom
! Formation energy (no corrections)   -2.62 eV per atom
! Density of states at the Fermi level   6.78 states/eV/f.u.
! SG   Im-3m

Record 3
! Cs3HoNp2O9 PBE optimized geometry; values from VASP
&SYSTEM
  ibrav = 0, nat = 15, ntyp = 4
/
ATOMIC_SPECIES
Cs 132.91 Cs.upf
O 16.00 O.upf
Np 237.00 Np.upf
Ho 164.93 Ho.upf
CELL_PARAMETERS angstrom
-5.077 2.243 2.789
3.134 -4.707 2.572
4.302 4.963 3.840
ATOMIC_POSITIONS crystal
Cs 0.000 0.000 0.000
Cs 0.333 0.667 0.664
Cs 0.667 0.333 0.336
O 0.823 0.646 0.680
O 0.500 0.000 0.000
O 0.177 0.823 0.320
O 0.646 0.823 0.320
O 0.354 0.177 0.680
O 0.823 0.177 0.680
O 0.000 0.500 0.000
O 0.500 0.500 0.000
O 0.177 0.354 0.320
Np 0.333 0.667 0.166
Np 0.667 0.333 0.834
Ho 0.000 0.000 0.500
! Electronic total energy   -7.79 eV/atom
! Formation energy (no corrections)   -2.61 eV per atom
! Density of states at the Fermi level   0.26 states/eV/f.u.
! SG   P-3m1

Record 4
! Cs3Ho3NpS8 PBE optimized geometry; values from VASP
&SYSTEM
  ibrav = 0, nat = 15, ntyp = 4
/
ATOMIC_SPECIES
S 32.06 S.upf
Ho 164.93 Ho.upf
Cs 132.91 Cs.upf
Np 237.00 Np.upf
CELL_PARAMETERS angstrom
8.090 0.000 0.000
-4.045 7.006 -0.029
0.000 -4.642 8.219
ATOMIC_POSITIONS crystal
S 0.777 0.047 0.324
S 0.726 0.453 0.679
S 0.223 0.953 0.676
S 0.777 0.553 0.324
S 0.223 0.447 0.676
S 0.730 0.953 0.676
S 0.270 0.047 0.324
S 0.274 0.547 0.321
Ho 0.000 0.500 0.500
Ho 0.500 0.000 0.500
Ho 0.500 0.500 0.500
Cs 0.500 0.500 0.000
Cs 0.000 0.000 0.000
Cs 0.000 0.500 0.000
Np 0.000 0.000 0.500
! Electronic total energy   -5.90 eV/atom
! Formation energy (no corrections)   -1.75 eV per atom
! Density of states at the Fermi level   3.44 states/eV/f.u.
! SG   R-3m

Record 5
! Cs3HoNp3S8 PBE optimized geometry; values from VASP
&SYSTEM
  ibrav = 0, nat = 15, ntyp = 4
/
ATOMIC_SPECIES
S 32.06 S.upf
Cs 132.91 Cs.upf
Ho 164.93 Ho.upf
Np 237.00 Np.upf
CELL_PARAMETERS angstrom
-1.782 7.772 -1.686
-0.236 -5.609 -5.908
-7.108 -0.288 6.182
ATOMIC_POSITIONS crystal
S 0.225 0.451 0.676
S 0.726 0.451 0.677
S 0.775 0.549 0.324
S 0.225 0.951 0.676
S 0.274 0.049 0.324
S 0.274 0.549 0.323
S 0.726 0.951 0.676
S 0.775 0.049 0.324
Cs 0.000 0.500 0.000
Cs 0.500 0.500 0.000
Cs 0.000 0.000 0.000
Ho 0.000 0.000 0.500
Np 0.000 0.500 0.500
Np 0.500 0.000 0.500
Np 0.500 0.500 0.500
! Electronic total energy   -6.77 eV/atom
! Formation energy (no corrections)   -1.51 eV per atom
! Density of states at the Fermi level   27.26 states/eV/f.u.
! SG   R-3m

Record 6
! Cs3HoNp2Se6 PBE optimized geometry; values from VASP
&SYSTEM
  ibrav = 0, nat = 12, ntyp = 4
/
ATOMIC_SPECIES
Ho 164.93 Ho.upf
Se 78.96 Se.upf
Cs 132.91 Cs.upf
Np 237.00 Np.upf
CELL_PARAMETERS angstrom
-5.225 5.051 1.685
-1.949 -7.071 -1.361
3.267 -1.132 8.021
ATOMIC_POSITIONS crystal
Ho 0.000 0.000 0.000
Se 0.268 0.268 0.815
Se 0.392 0.062 0.185
Se 0.938 0.608 0.815
Se 0.608 0.938 0.815
Se 0.732 0.732 0.185
Se 0.062 0.392 0.185
Cs 0.167 0.833 0.500
Cs 0.833 0.167 0.500
Cs 0.500 0.500 0.500
Np 0.667 0.333 0.000
Np 0.333 0.667 0.000
! Electronic total energy   -5.88 eV/atom
! Formation energy (no corrections)   -1.38 eV per atom
! Density of states at the Fermi level   19.83 states/eV/f.u.
! SG   C2/m

What did the fourth record say?
! Cs3Ho3NpS8 PBE optimized geometry; values from VASP
&SYSTEM
  ibrav = 0, nat = 15, ntyp = 4
/
ATOMIC_SPECIES
S 32.06 S.upf
Ho 164.93 Ho.upf
Cs 132.91 Cs.upf
Np 237.00 Np.upf
CELL_PARAMETERS angstrom
8.090 0.000 0.000
-4.045 7.006 -0.029
0.000 -4.642 8.219
ATOMIC_POSITIONS crystal
S 0.777 0.047 0.324
S 0.726 0.453 0.679
S 0.223 0.953 0.676
S 0.777 0.553 0.324
S 0.223 0.447 0.676
S 0.730 0.953 0.676
S 0.270 0.047 0.324
S 0.274 0.547 0.321
Ho 0.000 0.500 0.500
Ho 0.500 0.000 0.500
Ho 0.500 0.500 0.500
Cs 0.500 0.500 0.000
Cs 0.000 0.000 0.000
Cs 0.000 0.500 0.000
Np 0.000 0.000 0.500
! Electronic total energy   -5.90 eV/atom
! Formation energy (no corrections)   -1.75 eV per atom
! Density of states at the Fermi level   3.44 states/eV/f.u.
! SG   R-3m